! TlBi2F, relaxed, DFT PBE; values from VASP
! - Formation energy without anion corrections: -0.443 eV/atom
! - Excess energy over the best structure of this formula in the dataset: 74 meV per atom
! - Crystal system: cubic
! - Calculated density: 10.730 g/cm3
! - Size of the total moment: 0.0 μB per formula unit
! - Raw total energy: -3.443 eV/atom
&SYSTEM
  ibrav = 0, nat = 4, ntyp = 3
/
ATOMIC_SPECIES
Bi 208.98 Bi.upf
F 19.00 F.upf
Tl 204.38 Tl.upf
CELL_PARAMETERS angstrom
0.0000 3.6748 3.6748
3.6748 0.0000 3.6748
3.6748 3.6748 0.0000
ATOMIC_POSITIONS crystal
Bi 0.7500 0.7500 0.7500
Bi 0.2500 0.2500 0.2500
F 0.0000 0.0000 0.0000
Tl 0.5000 0.5000 0.5000